Record 1
Sr3Li2Ge2 | PBE-GGA | optimized geometry

Cell lengths 6.1252, 8.5202, 14.8363 Å; angles 90.00, 90.00, 90.00 degrees
Fractional coordinates of all 28 atoms:
Sr1 0.1097 0.6111 0.1093
Sr2 0.8903 0.3889 0.6093
Sr3 0.8903 0.1111 0.3907
Sr4 0.1097 0.8889 0.8907
Sr5 0.8903 0.3889 0.8907
Sr6 0.1097 0.6111 0.3907
Sr7 0.1097 0.8889 0.6093
Sr8 0.8903 0.1111 0.1093
Sr9 0.3458 0.2514 0.2500
Sr10 0.6542 0.7486 0.7500
Sr11 0.6542 0.7514 0.2500
Sr12 0.3458 0.2486 0.7500
Li1 0.6057 0.4593 0.0831
Li2 0.3943 0.5407 0.5831
Li3 0.3943 0.9593 0.4169
Li4 0.6057 0.0407 0.9169
Li5 0.3943 0.5407 0.9169
Li6 0.6057 0.4593 0.4169
Li7 0.6057 0.0407 0.5831
Li8 0.3943 0.9593 0.0831
Ge1 0.3323 0.2500 0.0000
Ge2 0.6677 0.7500 0.5000
Ge3 0.6677 0.7500 0.0000
Ge4 0.3323 0.2500 0.5000
Ge5 0.8216 0.3971 0.2500
Ge6 0.1784 0.6029 0.7500
Ge7 0.1784 0.8971 0.2500
Ge8 0.8216 0.1029 0.7500

energy of formation	-0.461	eV per atom
SG	Pbcm (57)
DFT total energy	-3.0477	eV per atom
ρ	3.620	g/cm³

***

Record 2
SmIn2AgI6 | PBE-GGA | optimized geometry

Cell lengths 8.3732, 8.3735, 9.0863 Å; angles 62.53, 62.54, 59.98 degrees
Fractional coordinates of all 10 atoms:
Sm1 0.3301 0.3300 0.0098
In1 0.5306 0.5303 0.4090
In2 0.0171 0.0171 0.9488
Ag1 0.7450 0.7452 0.7644
I1 0.5858 0.2228 0.2185
I2 0.2227 0.9729 0.2187
I3 0.9729 0.5859 0.2185
I4 0.4541 0.6922 0.7424
I5 0.6923 0.1110 0.7427
I6 0.1112 0.4542 0.7426

E_form (uncorrected)	-0.78	eV/atom
SG	R3 (146)
DFT total energy	-3.0142	eV per atom
ρ	4.443	g/cm³

***

Record 3
AgB | PBE-GGA | optimized geometry

Cell lengths 6.2680, 6.0065, 6.7552 Å; angles 90.00, 152.54, 90.00 degrees
Fractional coordinates of all 8 atoms:
B1 0.5266 0.4699 0.4914
B2 0.0266 0.5301 0.9914
B3 0.5266 0.9699 0.9914
B4 0.0266 0.0301 0.4914
Ag1 0.3630 0.2796 0.0441
Ag2 0.8630 0.7204 0.5441
Ag3 0.3630 0.7796 0.5441
Ag4 0.8630 0.2204 0.0441

energy of formation	0.386	eV per atom
SG	Cc (9)
DFT total energy	-4.3788	eV per atom
E above lowest polymorph	9	meV/atom
ρ	6.721	g/cm³

***

Record 4
ZrV2Ir2 | PBE-GGA | optimized geometry

Cell lengths 7.4932, 7.4932, 2.8189 Å; angles 90.00, 90.00, 90.00 degrees
Fractional coordinates of all 10 atoms:
Ir1 0.3665 0.8665 0.0000
Ir2 0.8665 0.6335 0.0000
Ir3 0.6335 0.1335 0.0000
Ir4 0.1335 0.3665 0.0000
Zr1 0.0000 0.0000 0.0000
Zr2 0.5000 0.5000 0.0000
V1 0.1611 0.6611 0.5000
V2 0.6611 0.8389 0.5000
V3 0.8389 0.3389 0.5000
V4 0.3389 0.1611 0.5000

energy of formation	-0.397	eV per atom
SG	P4/mbm (127)
DFT total energy	-9.2989	eV per atom
E above lowest polymorph	49	meV/atom
ρ	12.119	g/cm³